Computed, not measured: a geometry-optimized Ca2Tl2Pb7 structure at the PBE level of DFT.

```
Ca2Tl2Pb7
1.0
-2.670 -1.074 -5.142
-8.290 -7.882 4.096
-4.760 3.378 -0.805
Ca Pb Tl
2 7 2
direct
0.322 0.560 0.322
0.678 0.440 0.678
0.800 0.720 0.313
0.717 0.144 0.717
0.200 0.280 0.687
0.283 0.856 0.283
0.687 0.280 0.200
0.000 0.500 0.000
0.313 0.720 0.800
0.247 0.000 0.753
0.753 0.000 0.247
```

Values from the calculation:
Its formation energy is -0.040 eV per atom. Its space-group type is C2/m (12).